Version a
Material: NiAs2Au
Method: DFT, GGA-PBEsol
State: relaxed

Magnetic moment: 0.0 μB/cell

Unit cell a=4.4880 b=4.4880 c=4.4880 alpha=60.00 beta=60.00 gamma=60.00
Positions (direct):
1 Ni 0.0000 0.0000 0.0000
2 As 0.5000 0.5000 0.5000
3 As 0.7500 0.7500 0.7500
4 Au 0.2500 0.2500 0.2500

---

Version b
Material: NiAs2Au
Method: DFT, GGA-PBEsol
State: relaxed

Magnetic moment: 0.0 μB/cell

Unit cell a=2.8741 b=2.8741 c=7.7625 alpha=90.00 beta=90.00 gamma=90.00
Positions (direct):
1 Ni 0.0000 0.0000 0.0000
2 As 0.0000 0.0000 0.5011
3 As 0.5000 0.5000 0.1651
4 Au 0.5000 0.5000 0.7612

---

version b wins, 0.304 eV/atom ahead of the next structure.

---

Version a
Material: As2OsAu
Method: DFT, GGA-PBEsol
State: relaxed

Magnetic moment: 0.0 μB/cell

Unit cell a=4.5544 b=4.5544 c=3.0942 alpha=90.00 beta=90.00 gamma=90.00
Positions (direct):
1 As 0.0000 0.5000 0.0000
2 As 0.5000 0.0000 0.0000
3 Os 0.0000 0.0000 0.5000
4 Au 0.5000 0.5000 0.5000

---

Version b
Material: As2OsAu
Method: DFT, GGA-PBEsol
State: relaxed

Magnetic moment: 0.0 μB/cell

Unit cell a=2.8430 b=2.8430 c=9.7063 alpha=90.00 beta=90.00 gamma=118.56
Positions (direct):
1 As 0.0000 0.0000 0.0000
2 As 0.5000 0.5000 0.3102
3 Os 0.0000 0.0000 0.5136
4 Au 0.5000 0.5000 0.7605

---

version b wins, 0.070 eV/atom ahead of the next structure.